(1)
Density functional theory data (PBE-GGA) for an optimized crystal structure of K2PuZn2S4.

a = 7.8293 Å, b = 7.8293 Å, c = 7.6830 Å
α = 108.41°, β = 108.41°, γ = 29.87°
With the nearest neighbours (Å) after each atom.
Sites, in units of the cell vectors:
K 0.1266 0.1266 0.0489  7 S 3.30-3.52, 1 K 3.65
K 0.8734 0.8734 0.9511  7 S 3.30-3.52, 1 K 3.65
Pu 0.0000 0.0000 0.5000  6 S 2.83-2.98
Zn 0.3293 0.3293 0.5195  4 S 2.33-2.47
Zn 0.6707 0.6707 0.4805  4 S 2.33-2.47
S 0.2076 0.2076 0.6689  3 Zn 2.44-2.47
S 0.4775 0.4775 0.7397  1 Zn 2.33
S 0.5225 0.5225 0.2603  1 Zn 2.33
S 0.7924 0.7924 0.3311  3 Zn 2.44-2.47

Properties
**Uncorrected energy**: -45.30 eV/f.u.
**M_tot**: 0.660 μB per atom
**Space group**: No. 12

***

(2)
Density functional theory data (PBE-GGA) for an optimized crystal structure of AuNCl3.

a = 4.9736 Å, b = 4.9736 Å, c = 4.9736 Å
α = 90.00°, β = 90.00°, γ = 90.00°
With the nearest neighbours (Å) after each atom.
Sites, in units of the cell vectors:
Au 0.0000 0.0000 0.0000  6 Cl 2.49
N 0.5000 0.5000 0.5000  12 Cl 3.52
Cl 0.0000 0.0000 0.5000  2 Au 2.49
Cl 0.0000 0.5000 0.0000  2 Au 2.49
Cl 0.5000 0.0000 0.0000  2 Au 2.49

Properties
**Relative energy among the computed polymorphs**: 0.000 eV per formula unit
**Uncorrected energy**: -12.11 eV/f.u.
**M_tot**: 0.576 μB per atom
**Space group**: No. 221

***

(3)
Density functional theory data (PBE-GGA) for an optimized crystal structure of Ti3MnNb2.

a = 5.5808 Å, b = 4.4187 Å, c = 7.8958 Å
α = 90.00°, β = 91.13°, γ = 90.00°
With the nearest neighbours (Å) after each atom.
Sites, in units of the cell vectors:
Ti 0.0058 0.2500 0.2153  3 Mn 2.51-2.63, 1 Ti 2.74
Ti 0.3173 0.2500 0.9301  4 Mn 2.64-2.85, 4 Ti 2.79-2.87, 1 Nb 2.82
Ti 0.4803 0.7500 0.7433  3 Nb 2.70-2.88, 5 Ti 2.74-2.88
Ti 0.5197 0.2500 0.2567  3 Nb 2.70-2.88, 5 Ti 2.74-2.88
Ti 0.6827 0.7500 0.0699  4 Mn 2.64-2.85, 4 Ti 2.79-2.87, 1 Nb 2.82
Ti 0.9942 0.7500 0.7847  3 Mn 2.51-2.63, 1 Ti 2.74
Mn 0.1724 0.7500 0.0795  6 Ti 2.51-2.73, 1 Nb 2.61
Mn 0.8276 0.2500 0.9205  6 Ti 2.51-2.73, 1 Nb 2.61
Nb 0.1746 0.2500 0.5851  4 Nb 2.78-2.81, 6 Ti 2.82-3.05
Nb 0.3230 0.7500 0.3942  1 Mn 2.61, 3 Ti 2.70-2.88, 4 Nb 2.78-2.81
Nb 0.6770 0.2500 0.6058  1 Mn 2.61, 3 Ti 2.70-2.88, 4 Nb 2.78-2.81
Nb 0.8254 0.7500 0.4149  4 Nb 2.78-2.81, 6 Ti 2.82-3.05

Properties
**Uncorrected energy**: -53.31 eV/f.u.
**M_tot**: 0.000 μB per atom
**Space group**: No. 11

***

(4)
Density functional theory data (PBE-GGA) for an optimized crystal structure of KBa2GaAu.

a = 6.5728 Å, b = 6.5728 Å, c = 5.0386 Å
α = 90.00°, β = 90.00°, γ = 90.00°
With the nearest neighbours (Å) after each atom.
Sites, in units of the cell vectors:
K 0.0000 0.0000 0.0000  8 Ba 4.14
Ba 0.0000 0.5000 0.5000  2 Au 3.29
Ba 0.5000 0.0000 0.5000  2 Au 3.29
Ga 0.5000 0.5000 0.0000  2 Au 2.52
Au 0.5000 0.5000 0.5000  2 Ga 2.52

Properties
**Uncorrected energy**: -12.31 eV/f.u.
**M_tot**: 0.090 μB per atom
**Space group**: No. 123

***

(5)
Density functional theory data (PBE-GGA) for an optimized crystal structure of BTePbI2.

a = 5.2568 Å, b = 5.2568 Å, c = 5.3731 Å
α = 90.00°, β = 90.00°, γ = 90.00°
With the nearest neighbours (Å) after each atom.
Sites, in units of the cell vectors:
B 0.0000 0.0000 0.0000  4 I 2.63, 2 Te 2.69
Te 0.0000 0.0000 0.5000  2 B 2.69
Pb 0.5000 0.5000 0.5000  4 Te 3.72, 8 I 3.76
I 0.0000 0.5000 0.0000  2 B 2.63
I 0.5000 0.0000 0.0000  2 B 2.63

Properties
**Relative energy among the computed polymorphs**: 0.000 eV per formula unit
**Uncorrected energy**: -14.14 eV/f.u.
**M_tot**: 0.000 μB per atom
**Space group**: No. 123

***

(6)
Density functional theory data (PBE-GGA) for an optimized crystal structure of Mg2Sb2Pt.

a = 6.9945 Å, b = 6.9945 Å, c = 4.6215 Å
α = 90.00°, β = 90.00°, γ = 90.00°
With the nearest neighbours (Å) after each atom.
Sites, in units of the cell vectors:
Mg 0.1580 0.3420 0.0000  2 Pt 2.64
Mg 0.3420 0.8420 0.0000  2 Pt 2.64
Mg 0.6580 0.1580 0.0000  2 Pt 2.64
Mg 0.8420 0.6580 0.0000  2 Pt 2.64
Sb 0.1555 0.6555 0.5000  6 Mg 2.96-3.19, 1 Sb 3.08
Sb 0.3445 0.1555 0.5000  6 Mg 2.96-3.19, 1 Sb 3.08
Sb 0.6555 0.8445 0.5000  6 Mg 2.96-3.19, 1 Sb 3.08
Sb 0.8445 0.3445 0.5000  6 Mg 2.96-3.19, 1 Sb 3.08
Pt 0.0000 0.0000 0.0000  4 Mg 2.64
Pt 0.5000 0.5000 0.0000  4 Mg 2.64

Properties
**Relative energy among the computed polymorphs**: 0.434 eV per formula unit
**Uncorrected energy**: -17.93 eV/f.u.
**M_tot**: 0.000 μB per atom
**Space group**: No. 127

***

(7)
Density functional theory data (PBE-GGA) for an optimized crystal structure of LaCoOs.

a = 2.8857 Å, b = 2.8857 Å, c = 7.4017 Å
α = 90.00°, β = 90.00°, γ = 120.00°
With the nearest neighbours (Å) after each atom.
Sites, in units of the cell vectors:
La 0.0000 0.0000 0.0000  6 La 2.89, 3 Co 3.19
Co 0.3333 0.6667 0.6326  3 Os 2.51
Os 0.6667 0.3333 0.3789  3 Co 2.51

Properties
**Relative energy among the computed polymorphs**: 2.465 eV per formula unit
**Uncorrected energy**: -21.03 eV/f.u.
**M_tot**: 0.437 μB per atom
**Space group**: No. 156

***

(8)
Density functional theory data (PBE-GGA) for an optimized crystal structure of LiMg6Pd5.

a = 7.9003 Å, b = 7.9003 Å, c = 4.5468 Å
α = 106.53°, β = 106.53°, γ = 121.39°
With the nearest neighbours (Å) after each atom.
Sites, in units of the cell vectors:
Li 0.0000 0.0000 0.0000  8 Mg 2.78-2.85
Mg 0.0828 0.4258 0.2543  7 Pd 2.74-2.82, 1 Li 2.85
Mg 0.2576 0.2576 0.7583  6 Pd 2.73-2.75, 2 Li 2.78-2.80, 1 Mg 3.05
Mg 0.4258 0.0828 0.2543  7 Pd 2.74-2.82, 1 Li 2.85
Mg 0.5742 0.9172 0.7457  7 Pd 2.74-2.82, 1 Li 2.85
Mg 0.7424 0.7424 0.2417  6 Pd 2.73-2.75, 2 Li 2.78-2.80, 1 Mg 3.05
Mg 0.9172 0.5742 0.7457  7 Pd 2.74-2.82, 1 Li 2.85
Pd 0.1611 0.8389 0.5000  8 Mg 2.75-2.79
Pd 0.3357 0.6643 0.0000  8 Mg 2.73-2.77
Pd 0.5000 0.5000 0.5000  8 Mg 2.73-2.82
Pd 0.6643 0.3357 0.0000  8 Mg 2.73-2.77
Pd 0.8389 0.1611 0.5000  8 Mg 2.75-2.79

Properties
**Uncorrected energy**: -45.13 eV/f.u.
**M_tot**: 0.000 μB per atom
**Space group**: No. 12